VASP calculation (PBE-GGA) on an optimized crystal structure of NiP2Ru.

For the total DFT energy (no corrections), the calculation gives -0.2487 hartree per atom. The space group is Pmm2, No. 25. As for the total moment: 0.00 μB per formula unit.

a = 4.417 Å, b = 2.946 Å, c = 3.917 Å
α = 89.97°, β = 90.00°, γ = 90.00°
Sites, in units of the cell vectors:
P (0.000, 0.875, 0.986)
P (0.500, 0.375, 0.253)
Ni (0.500, 0.875, 0.787)
Ru (0.000, 0.375, 0.474)

=====

VASP calculation (PBE-GGA) on an optimized crystal structure of Ni4PRu.

For the total DFT energy (no corrections), the calculation gives -0.2199 hartree per atom. The space group is F-43m, No. 216. As for the total moment: 3.24 μB per formula unit.

a = 4.675 Å, b = 4.675 Å, c = 4.675 Å
α = 60.00°, β = 60.00°, γ = 60.00°
Site moments in Bohr magnetons follow the coordinates.
Sites, in units of the cell vectors:
Ni (0.625, 0.625, 0.124)  0.53
P (0.250, 0.250, 0.250)  0.00
Ni (0.625, 0.625, 0.625)  0.53
Ni (0.124, 0.625, 0.625)  0.53
Ru (0.000, 0.000, 0.000)  1.22
Ni (0.625, 0.124, 0.625)  0.53

=====

VASP calculation (PBE-GGA) on an optimized crystal structure of Ni2PRu.

For the total DFT energy (no corrections), the calculation gives -0.2485 hartree per atom. The space group is Amm2, No. 38. As for the total moment: 0.00 μB per formula unit.

a = 5.031 Å, b = 5.031 Å, c = 3.528 Å
α = 90.00°, β = 90.00°, γ = 147.54°
Sites, in units of the cell vectors:
Ru (0.710, 0.290, 0.500)
Ni (0.442, 0.558, 0.500)
Ni (0.055, 0.945, 0.000)
P (0.300, 0.700, 0.000)

=====

VASP calculation (PBE-GGA) on an optimized crystal structure of NiP2Ru.

For the total DFT energy (no corrections), the calculation gives -0.2462 hartree per atom. The space group is R3m, No. 160. As for the total moment: 0.00 μB per formula unit.

a = 3.215 Å, b = 3.215 Å, c = 6.332 Å
α = 75.29°, β = 75.29°, γ = 60.00°
Sites, in units of the cell vectors:
P (0.254, 0.254, 0.238)
Ni (0.658, 0.658, 0.026)
Ru (0.509, 0.509, 0.472)
P (0.079, 0.079, 0.763)

=====

VASP calculation (PBE-GGA) on an optimized crystal structure of NiPRu4.

For the total DFT energy (no corrections), the calculation gives -0.2636 hartree per atom. The space group is F-43m, No. 216. As for the total moment: 3.81 μB per formula unit.

a = 5.060 Å, b = 5.060 Å, c = 5.060 Å
α = 60.00°, β = 60.00°, γ = 60.00°
Site moments in Bohr magnetons follow the coordinates.
Sites, in units of the cell vectors:
Ru (0.375, 0.874, 0.375)  0.73
Ru (0.874, 0.375, 0.375)  0.73
P (0.000, 0.000, 0.000)  0.00
Ni (0.750, 0.750, 0.750)  0.84
Ru (0.375, 0.375, 0.874)  0.73
Ru (0.375, 0.375, 0.375)  0.73

=====

VASP calculation (PBE-GGA) on an optimized crystal structure of Ni2PRu.

For the total DFT energy (no corrections), the calculation gives -0.2411 hartree per atom. The space group is Pmmm, No. 47. As for the total moment: 0.00 μB per formula unit.

a = 2.700 Å, b = 3.640 Å, c = 4.885 Å
α = 90.00°, β = 90.00°, γ = 90.00°
Sites, in units of the cell vectors:
P (0.500, 0.500, 0.000)
Ru (0.500, 0.500, 0.500)
Ni (0.000, 0.000, 0.753)
Ni (0.000, 0.000, 0.247)

=====

VASP calculation (PBE-GGA) on an optimized crystal structure of NiP2Ru.

For the total DFT energy (no corrections), the calculation gives -0.2367 hartree per atom. The space group is I-4m2, No. 119. As for the total moment: 0.00 μB per formula unit.

a = 4.848 Å, b = 4.848 Å, c = 4.848 Å
α = 137.94°, β = 137.94°, γ = 60.99°
Sites, in units of the cell vectors:
Ni (0.750, 0.250, 0.500)
Ru (0.500, 0.500, 0.000)
P (0.250, 0.750, 0.500)
P (0.000, 0.000, 0.000)

=====

VASP calculation (PBE-GGA) on an optimized crystal structure of Ni2PRu.

For the total DFT energy (no corrections), the calculation gives -0.2460 hartree per atom. The space group is P4/mmm, No. 123. As for the total moment: 0.37 μB per formula unit.

a = 3.524 Å, b = 3.523 Å, c = 3.764 Å
α = 90.00°, β = 90.00°, γ = 90.00°
Site moments in Bohr magnetons follow the coordinates.
Sites, in units of the cell vectors:
P (0.500, 0.000, 0.500)  0.00
Ru (0.000, 0.500, 0.500)  0.05
Ni (0.000, 0.000, 0.000)  0.17
Ni (0.500, 0.500, 0.000)  0.17

=====

VASP calculation (PBE-GGA) on an optimized crystal structure of NiP2Ru.

For the total DFT energy (no corrections), the calculation gives -0.2419 hartree per atom. The space group is P2/m, No. 10. As for the total moment: 0.00 μB per formula unit.

a = 3.763 Å, b = 3.425 Å, c = 4.366 Å
α = 96.24°, β = 90.00°, γ = 90.00°
Sites, in units of the cell vectors:
Ni (0.500, 0.750, 0.750)
P (0.000, 0.435, 0.563)
Ru (0.500, 0.250, 0.250)
P (0.000, 0.065, 0.937)

=====

VASP calculation (PBE-GGA) on an optimized crystal structure of Ni2PRu.

For the total DFT energy (no corrections), the calculation gives -0.2415 hartree per atom. The space group is R-3m, No. 166. As for the total moment: 0.00 μB per formula unit.

a = 7.865 Å, b = 7.865 Å, c = 7.865 Å
α = 19.64°, β = 19.64°, γ = 19.64°
Sites, in units of the cell vectors:
P (0.500, 0.500, 0.500)
Ni (0.760, 0.760, 0.760)
Ni (0.240, 0.240, 0.240)
Ru (0.000, 0.000, 0.000)

=====

VASP calculation (PBE-GGA) on an optimized crystal structure of Ni2PRuS.

The calculation puts the uncorrected formation energy at 0.71 eV/atom. For the total DFT energy (no corrections), the calculation gives -0.1971 hartree per atom. The space group is P4/mmm, No. 123. As for the total moment: 1.62 μB per formula unit.

a = 4.012 Å, b = 4.012 Å, c = 4.657 Å
α = 90.00°, β = 90.00°, γ = 90.00°
Site moments in Bohr magnetons follow the coordinates.
Sites, in units of the cell vectors:
Ni (0.500, 0.000, 0.000)  0.11
P (0.000, 0.000, 0.500)  0.00
Ni (0.000, 0.500, 0.000)  0.11
S (0.000, 0.000, 0.000)  0.01
Ru (0.500, 0.500, 0.500)  1.34

=====

VASP calculation (PBE-GGA) on an optimized crystal structure of NiPRuS2.

The calculation puts the uncorrected formation energy at 0.84 eV/atom. For the total DFT energy (no corrections), the calculation gives -0.1802 hartree per atom. The space group is P4/mmm, No. 123. As for the total moment: 0.00 μB per formula unit.

a = 4.381 Å, b = 4.381 Å, c = 4.214 Å
α = 90.00°, β = 90.00°, γ = 90.00°
Sites, in units of the cell vectors:
S (0.000, 0.500, 0.000)
S (0.500, 0.000, 0.000)
P (0.000, 0.000, 0.500)
Ni (0.000, 0.000, 0.000)
Ru (0.500, 0.500, 0.500)

=====

- The highest total moment belongs to which entry?
  NiPRu4

=====

- Which formula does entry 10 have?
  Ni2PRu

=====

Repeat the first record exactly.
VASP calculation (PBE-GGA) on an optimized crystal structure of NiP2Ru.

For the total DFT energy (no corrections), the calculation gives -0.2487 hartree per atom. The space group is Pmm2, No. 25. As for the total moment: 0.00 μB per formula unit.

a = 4.417 Å, b = 2.946 Å, c = 3.917 Å
α = 89.97°, β = 90.00°, γ = 90.00°
Sites, in units of the cell vectors:
P (0.000, 0.875, 0.986)
P (0.500, 0.375, 0.253)
Ni (0.500, 0.875, 0.787)
Ru (0.000, 0.375, 0.474)